VASP calculation (GGA-PBE) on AlCdRh2Se after structural relaxation.

Results
**Uncorrected energy**: -4.162 eV/atom
**Formation energy without anion corrections**: 0.4068 eV per atom

Unit cell a=4.586 b=4.742 c=4.586 alpha=90.00 beta=90.00 gamma=90.00
Atoms (fractional coordinates):
Se (0.000, 0.500, 0.000)
Al (0.000, 0.000, 0.000)
Rh (0.000, 0.000, 0.500)
Rh (0.500, 0.000, 0.000)
Cd (0.500, 0.500, 0.500)

***

VASP calculation (GGA-PBE) on SrAl2CdRh after structural relaxation.

Results
**Uncorrected energy**: -3.864 eV/atom
**Energy of formation from the pure elements**: -0.377 eV per atom

Unit cell a=4.767 b=4.767 c=5.247 alpha=90.00 beta=90.00 gamma=90.00
Atoms (fractional coordinates):
Rh (0.000, 0.000, 0.000)
Al (0.000, 0.500, 0.000)
Al (0.500, 0.000, 0.000)
Sr (0.500, 0.500, 0.500)
Cd (0.000, 0.000, 0.500)

***

VASP calculation (GGA-PBE) on TaAl2CdRh after structural relaxation.

Results
**Uncorrected energy**: -4.088 eV/atom
**Energy of formation from the pure elements**: 1.433 eV per atom

Unit cell a=4.933 b=5.218 c=4.933 alpha=90.00 beta=90.00 gamma=90.00
Atoms (fractional coordinates):
Ta (0.000, 0.000, 0.000)
Al (0.500, 0.000, 0.000)
Al (0.000, 0.000, 0.500)
Rh (0.500, 0.500, 0.500)
Cd (0.000, 0.500, 0.000)

***

VASP calculation (GGA-PBE) on Tb2Al2CdRh5 after structural relaxation.

Results
**Uncorrected energy**: -6.198 eV/atom
**Energy of formation from the pure elements**: -0.756 eV per atom

Unit cell a=3.515 b=9.964 c=9.964 alpha=90.00 beta=90.00 gamma=90.00
Atoms (fractional coordinates):
Al (0.000, 0.622, 0.878)
Al (0.000, 0.878, 0.378)
Al (0.000, 0.122, 0.622)
Al (0.000, 0.378, 0.122)
Rh (0.500, 0.931, 0.211)
Rh (0.500, 0.000, 0.500)
Rh (0.500, 0.500, 0.000)
Rh (0.500, 0.289, 0.569)
Rh (0.500, 0.211, 0.069)
Rh (0.500, 0.431, 0.289)
Rh (0.500, 0.711, 0.431)
Rh (0.500, 0.569, 0.711)
Rh (0.500, 0.069, 0.789)
Rh (0.500, 0.789, 0.931)
Cd (0.000, 0.000, 0.000)
Cd (0.000, 0.500, 0.500)
Tb (0.000, 0.676, 0.176)
Tb (0.000, 0.176, 0.324)
Tb (0.000, 0.824, 0.676)
Tb (0.000, 0.324, 0.824)

***

VASP calculation (GGA-PBE) on YAl2CdRh after structural relaxation.

Results
**Uncorrected energy**: -4.740 eV/atom
**Energy of formation from the pure elements**: -0.297 eV per atom

Unit cell a=4.666 b=5.097 c=4.666 alpha=90.00 beta=90.00 gamma=90.00
Atoms (fractional coordinates):
Y (0.500, 0.500, 0.500)
Al (0.000, 0.000, 0.500)
Al (0.500, 0.000, 0.000)
Cd (0.000, 0.500, 0.000)
Rh (0.000, 0.000, 0.000)

***

VASP calculation (GGA-PBE) on AlCd2Ru after structural relaxation.

Results
**Uncorrected energy**: -3.642 eV/atom
**Energy of formation from the pure elements**: 0.070 eV per atom

Unit cell a=4.335 b=3.976 c=3.976 alpha=90.00 beta=90.00 gamma=90.00
Atoms (fractional coordinates):
Cd (0.000, 0.500, 0.500)
Cd (0.000, 0.000, 0.000)
Ru (0.500, 0.500, 0.000)
Al (0.500, 0.000, 0.500)

***

VASP calculation (GGA-PBE) on AlCd2Ru after structural relaxation.

Results
**Uncorrected energy**: -3.346 eV/atom
**Energy of formation from the pure elements**: 0.366 eV per atom

Unit cell a=3.849 b=3.849 c=10.575 alpha=79.52 beta=79.52 gamma=90.00
Atoms (fractional coordinates):
Al (0.500, 0.500, 0.000)
Al (0.250, 0.750, 0.500)
Cd (0.375, 0.369, 0.750)
Cd (0.875, 0.881, 0.750)
Cd (0.119, 0.625, 0.250)
Cd (0.631, 0.125, 0.250)
Ru (0.000, 0.000, 0.000)
Ru (0.750, 0.250, 0.500)

***

VASP calculation (GGA-PBE) on AlCd2Ru after structural relaxation.

Results
**Uncorrected energy**: -3.351 eV/atom
**Energy of formation from the pure elements**: 0.361 eV per atom

Unit cell a=2.836 b=2.836 c=10.334 alpha=90.00 beta=90.00 gamma=115.61
Atoms (fractional coordinates):
Cd (0.000, 0.000, 0.479)
Cd (0.000, 0.000, 0.021)
Ru (0.500, 0.500, 0.250)
Al (0.500, 0.500, 0.750)

***

VASP calculation (GGA-PBE) on AlCd2Ru after structural relaxation.

Results
**Uncorrected energy**: -3.586 eV/atom
**Energy of formation from the pure elements**: 0.126 eV per atom

Unit cell a=4.597 b=4.597 c=4.597 alpha=60.00 beta=60.00 gamma=60.00
Atoms (fractional coordinates):
Ru (0.750, 0.750, 0.750)
Cd (0.000, 0.000, 0.000)
Cd (0.250, 0.250, 0.250)
Al (0.500, 0.500, 0.500)

***

VASP calculation (GGA-PBE) on Al2CdRu after structural relaxation.

Results
**Uncorrected energy**: -4.169 eV/atom
**Energy of formation from the pure elements**: 0.251 eV per atom

Unit cell a=4.027 b=4.027 c=9.360 alpha=77.58 beta=77.58 gamma=90.00
Atoms (fractional coordinates):
Al (0.875, 0.840, 0.750)
Al (0.590, 0.125, 0.250)
Al (0.375, 0.410, 0.750)
Al (0.160, 0.625, 0.250)
Cd (0.000, 0.000, 0.000)
Cd (0.750, 0.250, 0.500)
Ru (0.500, 0.500, 0.000)
Ru (0.250, 0.750, 0.500)

***

VASP calculation (GGA-PBE) on Al2CdRu after structural relaxation.

Results
**Uncorrected energy**: -4.594 eV/atom
**Energy of formation from the pure elements**: -0.175 eV per atom

Unit cell a=5.037 b=5.037 c=5.037 alpha=134.95 beta=134.98 gamma=65.59
Atoms (fractional coordinates):
Al (0.250, 0.750, 0.500)
Al (0.000, 0.000, 0.000)
Cd (0.500, 0.500, 0.000)
Ru (0.750, 0.250, 0.500)

***

VASP calculation (GGA-PBE) on Al3CdRu after structural relaxation.

Results
**Uncorrected energy**: -4.296 eV/atom
**Energy of formation from the pure elements**: -0.012 eV per atom

Unit cell a=4.749 b=4.749 c=4.749 alpha=90.00 beta=90.00 gamma=90.00
Atoms (fractional coordinates):
Cd (0.500, 0.500, 0.500)
Ru (0.000, 0.000, 0.000)
Al (0.000, 0.500, 0.000)
Al (0.500, 0.000, 0.000)
Al (0.000, 0.000, 0.500)